No. 1
First-principles (PBE-GGA) data for a relaxed CaSi2Mo crystal, as listed in Alexandria.

It has space group F-43m (No. 216), with a = 6.4570 Å, b = 6.4570 Å, c = 6.4570 Å, α = 90.00°, β = 90.00° and γ = 90.00°. The inequivalent atoms are Ca at (0.0000, 0.0000, 0.0000), Si at (0.0000, 0.0000, 0.5000), Si at (0.2500, 0.2500, 0.2500) and Mo at (0.2500, 0.2500, 0.7500).

The calculation puts the distance to the lowest polymorph of the same formula at 855.5 meV per atom. Its formation energy without anion corrections is 0.571 eV/atom. The calculated volume is 269 Å³/cell. The electronic total energy is -5.348 eV/atom. As for the density: 4.74 g/cm³.

No. 2
First-principles (PBE-GGA) data for a relaxed TaAlOs3 crystal, as listed in Alexandria.

It has space group Pm-3m (No. 221), with a = 4.3659 Å, b = 4.3659 Å, c = 4.3659 Å, α = 90.00°, β = 90.00° and γ = 90.00°. The inequivalent atoms are Ta at (0.0000, 0.0000, 0.0000), Al at (0.5000, 0.5000, 0.5000) and Os at (0.0000, 0.5000, 0.5000).

The calculation puts the distance to the lowest polymorph of the same formula at 0.0 meV per atom. The calculated volume is 83 Å³/cell. The electronic total energy is -8.753 eV/atom. As for the density: 15.54 g/cm³. Its energy of formation from the pure elements is 1104 meV per atom.

No. 3
First-principles (PBE-GGA) data for a relaxed MnReNi6 crystal, as listed in Alexandria.

It has space group Cmmm (No. 65), with a = 7.2122 Å, b = 10.1785 Å, c = 10.1826 Å, α = 90.00°, β = 90.00° and γ = 90.00°. The inequivalent atoms are Mn at (0.0000, 0.0000, 0.2468), Mn at (0.0000, 0.2489, 0.0000), Re at (0.0000, 0.2484, 0.5000), Re at (0.0000, 0.5000, 0.2434), Ni at (0.0000, 0.0000, 0.0000), Ni at (0.0000, 0.0000, 0.5000), Ni at (0.0000, 0.2514, 0.2529), Ni at (0.0000, 0.5000, 0.0000), Ni at (0.0000, 0.5000, 0.5000), Ni at (0.2474, 0.3743, 0.3758) and Ni at (0.2483, 0.3754, 0.1260).

The calculated volume is 747 Å³/cell. The electronic total energy is -7.051 eV/atom. As for the density: 10.54 g/cm³. Its energy of formation from the pure elements is -13 meV per atom.

No. 4
First-principles (PBE-GGA) data for a relaxed KPt2Br crystal, as listed in Alexandria.

It has space group I-42d (No. 122), with a = 5.2472 Å, b = 5.2472 Å, c = 17.4358 Å, α = 90.00°, β = 90.00° and γ = 90.00°. The inequivalent atoms are K at (0.0000, 0.0000, 0.0000), Pt at (0.0322, 0.2500, 0.6250) and Br at (0.0000, 0.0000, 0.5000).

The calculation puts the distance to the lowest polymorph of the same formula at 295.1 meV per atom. Its formation energy without anion corrections is 0.101 eV/atom. The calculated volume is 480 Å³/cell. The electronic total energy is -3.612 eV/atom. As for the density: 7.04 g/cm³.

No. 5
First-principles (PBE-GGA) data for a relaxed Dy5Y3Tm4 crystal, as listed in Alexandria.

It has space group C2/m (No. 12), with a = 16.0546 Å, b = 5.8090 Å, c = 9.2483 Å, α = 90.00°, β = 117.06° and γ = 90.00°. The inequivalent atoms are Dy at (0.0000, 0.0000, 0.0000), Dy at (0.0744, 0.5000, 0.6996), Dy at (0.1735, 0.5000, 0.3865), Y at (0.0000, 0.5000, 0.0000), Y at (0.2087, 0.0000, 0.2293), Tm at (0.0804, 0.0000, 0.4402) and Tm at (0.2134, 0.0000, 0.8770).

The calculation puts the distance to the lowest polymorph of the same formula at 233.9 meV per atom. The calculated volume is 768 Å³/cell. The electronic total energy is -4.766 eV/atom. As for the density: 7.59 g/cm³. Its energy of formation from the pure elements is 258 meV per atom.

No. 6
First-principles (PBE-GGA) data for a relaxed GeSb3Au crystal, as listed in Alexandria.

It has space group Pm-3m (No. 221), with a = 5.3838 Å, b = 5.3838 Å, c = 5.3838 Å, α = 90.00°, β = 90.00° and γ = 90.00°. The inequivalent atoms are Ge at (0.0000, 0.0000, 0.0000), Sb at (0.0000, 0.5000, 0.5000) and Au at (0.5000, 0.5000, 0.5000).

The calculation puts the distance to the lowest polymorph of the same formula at 0.0 meV per atom. Its formation energy without anion corrections is 0.721 eV/atom. The calculated volume is 156 Å³/cell. The electronic total energy is -3.332 eV/atom. As for the density: 6.76 g/cm³.

No. 7
First-principles (PBE-GGA) data for a relaxed SmDy10Sc4 crystal, as listed in Alexandria.

It has space group I4/m (No. 87), with a = 12.2531 Å, b = 12.2531 Å, c = 6.6147 Å, α = 90.00°, β = 90.00° and γ = 90.00°. The inequivalent atoms are Sm at (0.0000, 0.0000, 0.0000), Dy at (0.0000, 0.5000, 0.2500), Dy at (0.1226, 0.7194, 0.2447) and Sc at (0.0688, 0.1764, 0.5000).

The calculated volume is 993 Å³/cell. The electronic total energy is -4.492 eV/atom. As for the density: 6.54 g/cm³. Its energy of formation from the pure elements is 579 meV per atom.

No. 8
First-principles (PBE-GGA) data for a relaxed MnCd2Br crystal, as listed in Alexandria.

It has space group P4mm (No. 99), with a = 3.2911 Å, b = 3.2911 Å, c = 8.6962 Å, α = 90.00°, β = 90.00° and γ = 90.00°. The inequivalent atoms are Mn at (0.0000, 0.0000, 0.0000), Cd at (0.0000, 0.0000, 0.5373), Cd at (0.5000, 0.5000, 0.7843) and Br at (0.5000, 0.5000, 0.1761).

The calculation puts the distance to the lowest polymorph of the same formula at 45.3 meV per atom. Its formation energy without anion corrections is 0.058 eV/atom. The calculated volume is 94 Å³/cell. The electronic total energy is -3.110 eV/atom. As for the density: 6.34 g/cm³.